No. 1
# PBE LaDy2Be, relaxed
data_LaDy2Be
_space_group_name_H-M_alt 'R -3 m'
_space_group_IT_number 166
_space_group_name_Hall '-R 3 2"'
_cell_length_a 3.4919
_cell_length_b 3.4919
_cell_length_c 34.3301
_cell_angle_alpha 90.00
_cell_angle_beta 90.00
_cell_angle_gamma 120.00
loop_
_atom_site_label
_atom_site_type_symbol
_atom_site_fract_x
_atom_site_fract_y
_atom_site_fract_z
La1 La 0.0000 0.0000 0.0000
Dy1 Dy 0.0000 0.0000 0.4167
Be1 Be 0.0000 0.0000 0.5000
# - Excess energy over the best structure of this formula in the dataset: 637 meV/atom
# - Magnetic moment: 0.01 μB per cell
# - VASP energy: -45.05 eV/cell

No. 2
# PBE LaDyBe2Pd5, relaxed
data_LaDyBe2Pd5
_space_group_name_H-M_alt 'P 4/m m m'
_space_group_IT_number 123
_space_group_name_Hall '-P 4 2'
_cell_length_a 4.095
_cell_length_b 4.095
_cell_length_c 9.127
_cell_angle_alpha 90.00
_cell_angle_beta 90.00
_cell_angle_gamma 90.00
loop_
_atom_site_label
_atom_site_type_symbol
_atom_site_fract_x
_atom_site_fract_y
_atom_site_fract_z
La1 La 0.000 0.000 0.000
Dy1 Dy 0.000 0.000 0.500
Be1 Be 0.500 0.500 0.370
Pd1 Pd 0.000 0.500 0.250
Pd2 Pd 0.500 0.500 0.000
# - Magnetic moment: 0.00 μB per cell
# - VASP energy: -49.17 eV/cell

No. 3
# PBE LaDyBeZn, relaxed
data_LaDyBeZn
_space_group_name_H-M_alt 'F -4 3 m'
_space_group_IT_number 216
_space_group_name_Hall 'F -4 2 3'
_cell_length_a 7.185
_cell_length_b 7.185
_cell_length_c 7.185
_cell_angle_alpha 90.00
_cell_angle_beta 90.00
_cell_angle_gamma 90.00
loop_
_atom_site_label
_atom_site_type_symbol
_atom_site_fract_x
_atom_site_fract_y
_atom_site_fract_z
La1 La 0.000 0.000 0.000
Dy1 Dy 0.000 0.000 0.500
Be1 Be 0.250 0.250 0.250
Zn1 Zn 0.250 0.250 0.750
# - Magnetic moment: 0.00 μB per cell
# - VASP energy: -58.85 eV/cell

No. 4
# PBE LiDyMgBe, relaxed
data_LiDyMgBe
_space_group_name_H-M_alt 'F -4 3 m'
_space_group_IT_number 216
_space_group_name_Hall 'F -4 2 3'
_cell_length_a 6.697
_cell_length_b 6.697
_cell_length_c 6.697
_cell_angle_alpha 90.00
_cell_angle_beta 90.00
_cell_angle_gamma 90.00
loop_
_atom_site_label
_atom_site_type_symbol
_atom_site_fract_x
_atom_site_fract_y
_atom_site_fract_z
Li1 Li 0.000 0.000 0.000
Dy1 Dy 0.250 0.250 0.750
Mg1 Mg 0.250 0.250 0.250
Be1 Be 0.000 0.000 0.500
# - Magnetic moment: 0.00 μB per cell
# - VASP energy: -46.54 eV/cell

No. 5
# PBE LiNdDyBe, relaxed
data_LiNdDyBe
_space_group_name_H-M_alt 'F -4 3 m'
_space_group_IT_number 216
_space_group_name_Hall 'F -4 2 3'
_cell_length_a 7.169
_cell_length_b 7.169
_cell_length_c 7.169
_cell_angle_alpha 90.00
_cell_angle_beta 90.00
_cell_angle_gamma 90.00
loop_
_atom_site_label
_atom_site_type_symbol
_atom_site_fract_x
_atom_site_fract_y
_atom_site_fract_z
Li1 Li 0.000 0.000 0.000
Nd1 Nd 0.250 0.250 0.750
Dy1 Dy 0.250 0.250 0.250
Be1 Be 0.000 0.000 0.500
# - Magnetic moment: 0.00 μB per cell
# - VASP energy: -57.53 eV/cell

No. 6
# PBE LiDy2Be2O6, relaxed
data_LiDy2Be2O6
_space_group_name_H-M_alt 'R -3 m'
_space_group_IT_number 166
_space_group_name_Hall '-R 3 2"'
_cell_length_a 5.1826
_cell_length_b 5.1826
_cell_length_c 15.6678
_cell_angle_alpha 90.00
_cell_angle_beta 90.00
_cell_angle_gamma 120.00
loop_
_atom_site_label
_atom_site_type_symbol
_atom_site_fract_x
_atom_site_fract_y
_atom_site_fract_z
Li1 Li 0.0000 0.0000 0.0000
Dy1 Dy 0.0000 0.0000 0.2055
Be1 Be 0.0000 0.0000 0.4236
O1 O 0.0041 0.5020 0.7598
# - Energy relative to the elements, uncorrected: -2468 meV/atom
# - Magnetic moment: 2.46 μB per cell
# - VASP energy: -226.41 eV/cell

No. 7
# PBE LiPrDyBe, relaxed
data_LiPrDyBe
_space_group_name_H-M_alt 'F -4 3 m'
_space_group_IT_number 216
_space_group_name_Hall 'F -4 2 3'
_cell_length_a 7.199
_cell_length_b 7.199
_cell_length_c 7.199
_cell_angle_alpha 90.00
_cell_angle_beta 90.00
_cell_angle_gamma 90.00
loop_
_atom_site_label
_atom_site_type_symbol
_atom_site_fract_x
_atom_site_fract_y
_atom_site_fract_z
Li1 Li 0.000 0.000 0.000
Pr1 Pr 0.250 0.250 0.250
Dy1 Dy 0.250 0.250 0.750
Be1 Be 0.000 0.000 0.500
# - Magnetic moment: 0.00 μB per cell
# - VASP energy: -57.48 eV/cell

No. 8
# PBE LiDy2Be3Pt4, relaxed
data_LiDy2Be3Pt4
_space_group_name_H-M_alt 'P -4 m 2'
_space_group_IT_number 115
_cell_length_a 3.992
_cell_length_b 3.992
_cell_length_c 9.864
_cell_angle_alpha 90.00
_cell_angle_beta 90.00
_cell_angle_gamma 90.00
loop_
_space_group_symop_operation_xyz
'x,y,z'
'y,-x,-z'
'-x,-y,z'
'-y,x,-z'
'-x,y,z'
'-y,-x,-z'
'x,-y,z'
'y,x,-z'
loop_
_atom_site_label
_atom_site_type_symbol
_atom_site_fract_x
_atom_site_fract_y
_atom_site_fract_z
Li1 Li 0.000 0.000 0.000
Dy1 Dy 0.000 0.500 0.746
Be1 Be 0.000 0.500 0.378
Be2 Be 0.500 0.500 0.000
Pt1 Pt 0.000 0.000 0.500
Pt2 Pt 0.000 0.500 0.143
Pt3 Pt 0.500 0.500 0.500
# - Magnetic moment: 0.00 μB per cell
# - VASP energy: -55.35 eV/cell

No. 9
# PBE LiDy2BePt6, relaxed
data_LiDy2BePt6
_space_group_name_H-M_alt 'R -3 m'
_space_group_IT_number 166
_space_group_name_Hall '-R 3 2"'
_cell_length_a 5.5664
_cell_length_b 5.5664
_cell_length_c 20.2231
_cell_angle_alpha 90.00
_cell_angle_beta 90.00
_cell_angle_gamma 120.00
loop_
_atom_site_label
_atom_site_type_symbol
_atom_site_fract_x
_atom_site_fract_y
_atom_site_fract_z
Li1 Li 0.0000 0.0000 0.0000
Dy1 Dy 0.0000 0.0000 0.2940
Be1 Be 0.0000 0.0000 0.5000
Pt1 Pt 0.0063 0.5032 0.7591
# - Magnetic moment: 0.00 μB per cell
# - VASP energy: -178.18 eV/cell

No. 10
# PBE LiDyBeSi2, relaxed
data_LiDyBeSi2
_space_group_name_H-M_alt 'I -4 m 2'
_space_group_IT_number 119
_space_group_name_Hall 'I -4 -2'
_cell_length_a 3.965
_cell_length_b 3.965
_cell_length_c 9.961
_cell_angle_alpha 90.00
_cell_angle_beta 90.00
_cell_angle_gamma 90.00
loop_
_atom_site_label
_atom_site_type_symbol
_atom_site_fract_x
_atom_site_fract_y
_atom_site_fract_z
Li1 Li 0.000 0.000 0.000
Dy1 Dy 0.000 0.500 0.250
Be1 Be 0.000 0.000 0.500
Si1 Si 0.000 0.500 0.632
# - Energy relative to the elements, uncorrected: -414 meV/atom
# - Magnetic moment: 0.00 μB per cell
# - VASP energy: -46.32 eV/cell

No. 11
# PBE LiSmDyBe, relaxed
data_LiSmDyBe
_space_group_name_H-M_alt 'F -4 3 m'
_space_group_IT_number 216
_space_group_name_Hall 'F -4 2 3'
_cell_length_a 7.120
_cell_length_b 7.120
_cell_length_c 7.120
_cell_angle_alpha 90.00
_cell_angle_beta 90.00
_cell_angle_gamma 90.00
loop_
_atom_site_label
_atom_site_type_symbol
_atom_site_fract_x
_atom_site_fract_y
_atom_site_fract_z
Li1 Li 0.000 0.000 0.000
Sm1 Sm 0.250 0.250 0.750
Dy1 Dy 0.250 0.250 0.250
Be1 Be 0.000 0.000 0.500
# - Magnetic moment: 0.00 μB per cell
# - VASP energy: -57.47 eV/cell

No. 12
# PBE LiDyTmBe, relaxed
data_LiDyTmBe
_space_group_name_H-M_alt 'F -4 3 m'
_space_group_IT_number 216
_space_group_name_Hall 'F -4 2 3'
_cell_length_a 6.997
_cell_length_b 6.997
_cell_length_c 6.997
_cell_angle_alpha 90.00
_cell_angle_beta 90.00
_cell_angle_gamma 90.00
loop_
_atom_site_label
_atom_site_type_symbol
_atom_site_fract_x
_atom_site_fract_y
_atom_site_fract_z
Li1 Li 0.000 0.000 0.000
Dy1 Dy 0.250 0.250 0.250
Tm1 Tm 0.250 0.250 0.750
Be1 Be 0.000 0.000 0.500
# - Magnetic moment: 0.00 μB per cell
# - VASP energy: -56.76 eV/cell

Among the records above, which one has the highest VASP energy?
LaDy2Be

What did the eighth record say?
# PBE LiDy2Be3Pt4, relaxed
data_LiDy2Be3Pt4
_space_group_name_H-M_alt 'P -4 m 2'
_space_group_IT_number 115
_cell_length_a 3.992
_cell_length_b 3.992
_cell_length_c 9.864
_cell_angle_alpha 90.00
_cell_angle_beta 90.00
_cell_angle_gamma 90.00
loop_
_space_group_symop_operation_xyz
'x,y,z'
'y,-x,-z'
'-x,-y,z'
'-y,x,-z'
'-x,y,z'
'-y,-x,-z'
'x,-y,z'
'y,x,-z'
loop_
_atom_site_label
_atom_site_type_symbol
_atom_site_fract_x
_atom_site_fract_y
_atom_site_fract_z
Li1 Li 0.000 0.000 0.000
Dy1 Dy 0.000 0.500 0.746
Be1 Be 0.000 0.500 0.378
Be2 Be 0.500 0.500 0.000
Pt1 Pt 0.000 0.000 0.500
Pt2 Pt 0.000 0.500 0.143
Pt3 Pt 0.500 0.500 0.500
# - Magnetic moment: 0.00 μB per cell
# - VASP energy: -55.35 eV/cell

Copy entry 2 word for word.
# PBE LaDyBe2Pd5, relaxed
data_LaDyBe2Pd5
_space_group_name_H-M_alt 'P 4/m m m'
_space_group_IT_number 123
_space_group_name_Hall '-P 4 2'
_cell_length_a 4.095
_cell_length_b 4.095
_cell_length_c 9.127
_cell_angle_alpha 90.00
_cell_angle_beta 90.00
_cell_angle_gamma 90.00
loop_
_atom_site_label
_atom_site_type_symbol
_atom_site_fract_x
_atom_site_fract_y
_atom_site_fract_z
La1 La 0.000 0.000 0.000
Dy1 Dy 0.000 0.000 0.500
Be1 Be 0.500 0.500 0.370
Pd1 Pd 0.000 0.500 0.250
Pd2 Pd 0.500 0.500 0.000
# - Magnetic moment: 0.00 μB per cell
# - VASP energy: -49.17 eV/cell

What is the formula in the twelfth record?
LiDyTmBe